Compound: Al2SiPb
Source: the Alexandria database
Functional: GGA-PBE
Structure: optimized geometry

Cell: 7.065 7.065 7.065 Å, 126.42 126.42 79.19°
Fractional positions:
1 Al 0.072 0.625 0.947
2 Al 0.375 0.322 0.447
3 Al 0.678 0.125 0.053
4 Al 0.875 0.928 0.553
5 Si 0.000 0.000 0.000
6 Si 0.750 0.250 0.500
7 Pb 0.250 0.750 0.500
8 Pb 0.500 0.500 0.000

Symmetry: I-42d, No. 122
Raw total energy: -3.767 eV/atom
Raw formation energy: 0.388 eV per atom
Crystal system: tetragonal